Record 1
# Dy3AgPd2 (PBE, relaxed)
# formation energy from the elements: -0.69 eV per atom
# calculated volume: 22.4 Å³ per atom
# magnetic moment: 0.00 μB per formula unit
data_Dy3AgPd2
_chemical_formula_sum 'Dy3 Ag1 Pd2'
_space_group_name_H-M_alt 'P 4/m m m'
_space_group_IT_number 123
_space_group_name_Hall '-P 4 2'
_cell_length_a 3.5611
_cell_length_b 3.5611
_cell_length_c 10.6103
_cell_angle_alpha 90.00
_cell_angle_beta 90.00
_cell_angle_gamma 90.00
loop_
_atom_site_label
_atom_site_fract_x
_atom_site_fract_y
_atom_site_fract_z
Dy1 0.0000 0.0000 0.0000
Dy2 0.0000 0.0000 0.3229
Ag1 0.5000 0.5000 0.5000
Pd1 0.5000 0.5000 0.1636

Record 2
# Dy4AgPd15 (PBE, relaxed)
# formation energy from the elements: -0.70 eV per atom
# calculated volume: 17.2 Å³ per atom
# magnetic moment: 0.00 μB per formula unit
data_Dy4AgPd15
_chemical_formula_sum 'Dy4 Ag1 Pd15'
_space_group_name_H-M_alt 'P 4/m m m'
_space_group_IT_number 123
_space_group_name_Hall '-P 4 2'
_cell_length_a 4.0951
_cell_length_b 4.0951
_cell_length_c 20.5528
_cell_angle_alpha 90.00
_cell_angle_beta 90.00
_cell_angle_gamma 90.00
loop_
_atom_site_label
_atom_site_fract_x
_atom_site_fract_y
_atom_site_fract_z
Dy1 0.0000 0.0000 0.1009
Dy2 0.0000 0.0000 0.3034
Ag1 0.0000 0.0000 0.5000
Pd1 0.0000 0.5000 0.0000
Pd2 0.0000 0.5000 0.2024
Pd3 0.0000 0.5000 0.4041
Pd4 0.5000 0.5000 0.1018
Pd5 0.5000 0.5000 0.3035
Pd6 0.5000 0.5000 0.5000